Entry from Alexandria via LeMat-Bulk: a crystal of Os3CS relaxed with PBEsol (meta-GGA SCAN).

Properties
Space group: No. 221
ΔE_f (raw): 1.29 eV per atom
Total magnetization: 0.0 μB/cell

Cell lengths 4.034, 4.034, 4.034 Å; angles 90.00, 90.00, 90.00 degrees
Sites, in units of the cell vectors:
Os: 0.000 0.000 0.500
Os: 0.000 0.500 0.000
Os: 0.500 0.000 0.000
C: 0.000 0.000 0.000
S: 0.500 0.500 0.500